1.
{"formula": "TbGeB4", "functional": "GGA-PBE", "state": "optimized geometry", "crystal_system": "orthorhombic", "total_magnetization_mub_per_cell": 0.0, "relative_energy_mev_per_atom": 0, "lattice": [[-1.5895, 2.5779, 4.1192], [1.5895, -2.5779, 4.1192], [1.5895, 2.5779, -4.1192]], "species": ["Tb", "Ge", "B", "B", "B", "B"], "frac_coords": [[0.0000, 0.0000, 0.0000], [0.5000, 0.5000, 0.0000], [0.0631, 0.7385, 0.3246], [0.4139, 0.7385, 0.6754], [0.5861, 0.2615, 0.3246], [0.9369, 0.2615, 0.6754]]}


2.
{"formula": "NdAl2Pt2", "functional": "GGA-PBE", "state": "optimized geometry", "crystal_system": "tetragonal", "total_magnetization_mub_per_cell": 0.0, "lattice": [[-2.1317, 2.1317, 5.3004], [2.1317, -2.1317, 5.3004], [2.1317, 2.1317, -5.3004]], "species": ["Nd", "Al", "Al", "Pt", "Pt"], "frac_coords": [[0.0000, 0.0000, 0.0000], [0.3746, 0.3746, 0.0000], [0.6254, 0.6254, 0.0000], [0.2500, 0.7500, 0.5000], [0.7500, 0.2500, 0.5000]]}


3.
{"formula": "YTlHgS3", "functional": "GGA-PBE", "state": "optimized geometry", "crystal_system": "monoclinic", "total_magnetization_mub_per_cell": 0.0, "relative_energy_mev_per_atom": 51, "lattice": [[8.4992, -2.0275, 0.0000], [8.4992, 2.0275, 0.0000], [-2.2124, 0.0000, 8.9542]], "species": ["Y", "Y", "Tl", "Tl", "Hg", "Hg", "S", "S", "S", "S", "S", "S"], "frac_coords": [[0.1707, 0.1707, 0.0881], [0.8293, 0.8293, 0.9119], [0.1407, 0.1407, 0.5654], [0.8593, 0.8593, 0.4346], [0.4934, 0.4934, 0.7812], [0.5066, 0.5066, 0.2188], [0.0000, 0.0000, 0.0000], [0.3336, 0.3336, 0.7143], [0.3346, 0.3346, 0.1208], [0.5000, 0.5000, 0.5000], [0.6654, 0.6654, 0.8792], [0.6664, 0.6664, 0.2857]]}


4.
{"formula": "MgScGa2Pd4", "functional": "GGA-PBE", "state": "optimized geometry", "crystal_system": "tetragonal", "total_magnetization_mub_per_cell": 0.0, "lattice": [[4.4768, 0.0000, 0.0000], [0.0000, 4.4768, 0.0000], [0.0000, 0.0000, 6.3396]], "species": ["Mg", "Sc", "Ga", "Ga", "Pd", "Pd", "Pd", "Pd"], "frac_coords": [[0.0000, 0.0000, 0.0000], [0.5000, 0.5000, 0.5000], [0.0000, 0.0000, 0.5000], [0.5000, 0.5000, 0.0000], [0.0000, 0.5000, 0.2452], [0.0000, 0.5000, 0.7548], [0.5000, 0.0000, 0.2452], [0.5000, 0.0000, 0.7548]]}


5.
{"formula": "ErAgGe", "functional": "GGA-PBE", "state": "optimized geometry", "crystal_system": "hexagonal", "total_magnetization_mub_per_cell": 0.0, "lattice": [[7.2907, 0.0000, 0.0000], [-3.6453, 6.3139, 0.0000], [0.0000, 0.0000, 4.1375]], "species": ["Er", "Er", "Er", "Ag", "Ag", "Ag", "Ge", "Ge", "Ge"], "frac_coords": [[0.0000, 0.5982, 0.0000], [0.4018, 0.4018, 0.0000], [0.5982, 0.0000, 0.0000], [0.0000, 0.0000, 0.0000], [0.3333, 0.6667, 0.5000], [0.6667, 0.3333, 0.5000], [0.0000, 0.2654, 0.5000], [0.2654, 0.0000, 0.5000], [0.7346, 0.7346, 0.5000]]}


6.
{"formula": "RbSmSnS3", "functional": "GGA-PBE", "state": "optimized geometry", "crystal_system": "orthorhombic", "total_magnetization_mub_per_cell": 0.0, "relative_energy_mev_per_atom": 0, "lattice": [[15.4337, 0.0000, 0.0000], [0.0000, 4.1049, 0.0000], [0.0000, 0.0000, 12.1193]], "species": ["Rb", "Rb", "Rb", "Rb", "Sm", "Sm", "Sm", "Sm", "Sn", "Sn", "Sn", "Sn", "S", "S", "S", "S", "S", "S", "S", "S", "S", "S", "S", "S"], "frac_coords": [[0.2352, 0.2500, 0.1002], [0.2648, 0.7500, 0.6002], [0.7352, 0.2500, 0.3998], [0.7648, 0.7500, 0.8998], [0.9999, 0.2500, 0.3558], [0.0001, 0.7500, 0.6442], [0.4999, 0.2500, 0.1442], [0.5001, 0.7500, 0.8558], [0.0430, 0.2500, 0.9056], [0.4570, 0.7500, 0.4056], [0.5430, 0.2500, 0.5944], [0.9570, 0.7500, 0.0944], [0.0830, 0.7500, 0.2295], [0.0964, 0.2500, 0.5470], [0.1265, 0.7500, 0.8180], [0.3735, 0.2500, 0.3180], [0.4036, 0.7500, 0.0470], [0.4170, 0.2500, 0.7295], [0.5830, 0.7500, 0.2705], [0.5964, 0.2500, 0.9530], [0.6265, 0.7500, 0.6820], [0.8735, 0.2500, 0.1820], [0.9036, 0.7500, 0.4530], [0.9170, 0.2500, 0.7705]]}


7.
{"formula": "SmCoSi2", "functional": "GGA-PBE", "state": "optimized geometry", "crystal_system": "orthorhombic", "total_magnetization_mub_per_cell": 0.0, "lattice": [[2.0460, -8.1412, 0.0000], [2.0460, 8.1412, 0.0000], [0.0000, 0.0000, 4.0266]], "species": ["Sm", "Sm", "Co", "Co", "Si", "Si", "Si", "Si"], "frac_coords": [[0.1072, 0.8928, 0.7500], [0.8928, 0.1072, 0.2500], [0.3195, 0.6805, 0.7500], [0.6805, 0.3195, 0.2500], [0.2499, 0.7501, 0.2500], [0.4571, 0.5429, 0.7500], [0.5429, 0.4571, 0.2500], [0.7501, 0.2499, 0.7500]]}


8.
{"formula": "SmCl2", "functional": "GGA-PBE", "state": "optimized geometry", "crystal_system": "trigonal", "total_magnetization_mub_per_cell": 0.0, "lattice": [[1.9075, 1.1013, 13.7277], [-1.9075, 1.1013, 13.7277], [0.0000, -2.2025, 13.7277]], "species": ["Sm", "Sm", "Cl", "Cl", "Cl", "Cl"], "frac_coords": [[0.0000, 0.0000, 0.0000], [0.5000, 0.5000, 0.5000], [0.1249, 0.1249, 0.1249], [0.2916, 0.2916, 0.2916], [0.7084, 0.7084, 0.7084], [0.8751, 0.8751, 0.8751]]}


Raw total energy (computed, eV per atom): -6.0774 -5.8724 -4.5244 -5.1184 -4.4153 -5.0385 -6.4405 -4.7525